Computed, not measured: a geometry-optimized K2V3AgF12 structure at the GGA+U level of DFT.

Structure (extended XYZ):
```
18
Lattice="-3.9672 6.1378 -0.0908 -5.0403 0.6666 -5.2508 -7.0144 -0.5022 1.9912" Properties=species:S:1:pos:R:3 pbc="T T T"
K -10.0308 3.9457 -2.0976
K -5.9911 2.3566 -1.2528
V -1.9836 3.0689 -0.0454
V -2.5201 0.3333 -2.6254
V -3.5072 -0.2511 0.9956
Ag 0.0000 0.0000 0.0000
F -8.9019 1.5129 0.2472
F -10.8264 5.7682 -3.8646
F -12.2369 2.6947 -2.9008
F -7.0438 5.5619 -1.0225
F -11.7402 5.2272 -0.5124
F -7.6981 2.2256 -4.1689
F -7.1200 4.7894 -3.5975
F -5.1955 0.5340 0.5142
F -3.7850 3.6076 -0.4495
F -8.9781 0.7404 -2.3279
F -4.2817 1.0751 -2.8380
F -8.3238 4.0766 0.8185
```

Results
Calculated density: 3.22 Mg/m³
E: -98.32 eV for the cell shown
Space-group type: R-3m
Size of the total moment: 6.00 μB/f.u.